Entry 1:
VASP calculation (GGA-PBE) on a relaxed HfZn3Pd4 crystal.

Properties
SG: Pmma (51)
Formation energy: -0.61 eV/atom
N(E_F): 6.5 states/eV/cell

Unit cell a=9.0720 b=5.8845 c=4.6204 alpha=90.00 beta=90.00 gamma=90.00
With the nearest neighbours (Å) after each atom.
Sites, in units of the cell vectors:
Hf: 0.0000 0.0000 0.0000  8 Pd 2.76, 4 Zn 2.94-3.02
Hf: 0.5000 0.0000 0.0000  8 Pd 2.76, 4 Zn 2.94-3.02
Zn: 0.0000 0.5000 0.0000  8 Pd 2.70-2.71, 2 Hf 2.94, 2 Zn 2.98
Zn: 0.2500 0.0000 0.4314  8 Pd 2.71-2.83, 2 Zn 2.94, 2 Hf 3.02
Zn: 0.2500 0.5000 0.4179  8 Pd 2.70-2.71, 4 Zn 2.94-2.98
Zn: 0.5000 0.5000 0.0000  8 Pd 2.70-2.71, 2 Hf 2.94, 2 Zn 2.98
Zn: 0.7500 0.0000 0.5686  8 Pd 2.71-2.83, 2 Zn 2.94, 2 Hf 3.02
Zn: 0.7500 0.5000 0.5821  8 Pd 2.70-2.71, 4 Zn 2.94-2.98
Pd: 0.0000 0.2576 0.5000  6 Zn 2.71-2.75, 2 Hf 2.76, 3 Pd 2.85-2.97
Pd: 0.0000 0.7424 0.5000  6 Zn 2.71-2.75, 2 Hf 2.76, 3 Pd 2.85-2.97
Pd: 0.2500 0.2596 0.9167  6 Zn 2.70-2.83, 2 Hf 2.76, 3 Pd 2.83-2.97
Pd: 0.2500 0.7404 0.9167  6 Zn 2.70-2.83, 2 Hf 2.76, 3 Pd 2.83-2.97
Pd: 0.5000 0.2576 0.5000  6 Zn 2.71-2.75, 2 Hf 2.76, 3 Pd 2.85-2.97
Pd: 0.5000 0.7424 0.5000  6 Zn 2.71-2.75, 2 Hf 2.76, 3 Pd 2.85-2.97
Pd: 0.7500 0.2596 0.0833  6 Zn 2.70-2.83, 2 Hf 2.76, 3 Pd 2.83-2.97
Pd: 0.7500 0.7404 0.0833  6 Zn 2.70-2.83, 2 Hf 2.76, 3 Pd 2.83-2.97

---

Entry 2:
VASP calculation (GGA-PBE) on a relaxed Mg3Si2Pt6 crystal.

Properties
SG: Im-3m (229)
N(E_F): 8.0 states/eV/cell
Formation energy (no corrections): -0.7588 eV/atom

Unit cell a=8.0119 b=8.0119 c=8.0119 alpha=109.47 beta=109.47 gamma=109.47
With the nearest neighbours (Å) after each atom.
Sites, in units of the cell vectors:
Mg: 0.0000 0.3314 0.3314  8 Pt 2.86-2.95, 1 Mg 3.12
Mg: 0.0000 0.6686 0.6686  8 Pt 2.86-2.95, 1 Mg 3.12
Mg: 0.3314 0.0000 0.3314  8 Pt 2.86-2.95, 1 Mg 3.12
Mg: 0.3314 0.3314 0.0000  8 Pt 2.86-2.95, 1 Mg 3.12
Mg: 0.6686 0.0000 0.6686  8 Pt 2.86-2.95, 1 Mg 3.12
Mg: 0.6686 0.6686 0.0000  8 Pt 2.86-2.95, 1 Mg 3.12
Si: 0.0000 0.0000 0.5000  6 Pt 2.44
Si: 0.0000 0.5000 0.0000  6 Pt 2.44
Si: 0.5000 0.0000 0.0000  6 Pt 2.44
Si: 0.5000 0.5000 0.5000  6 Pt 2.44
Pt: 0.0000 0.3085 0.6915  2 Si 2.44
Pt: 0.0000 0.6915 0.3085  2 Si 2.44
Pt: 0.3085 0.0000 0.6915  2 Si 2.44
Pt: 0.3085 0.3085 0.6171  2 Si 2.44
Pt: 0.3085 0.6171 0.3085  2 Si 2.44
Pt: 0.3085 0.6915 0.0000  2 Si 2.44
Pt: 0.3829 0.6915 0.6915  2 Si 2.44
Pt: 0.6171 0.3085 0.3085  2 Si 2.44
Pt: 0.6915 0.0000 0.3085  2 Si 2.44
Pt: 0.6915 0.3085 0.0000  2 Si 2.44
Pt: 0.6915 0.3829 0.6915  2 Si 2.44
Pt: 0.6915 0.6915 0.3829  2 Si 2.44

---

Entry 3:
VASP calculation (GGA-PBE) on a relaxed Nb2CdRe2 crystal.

Properties
SG: P4/mbm (127)
Formation energy: 0.29 eV/atom
N(E_F): 9.1 states/eV/cell

Unit cell a=7.6847 b=7.6847 c=3.0855 alpha=90.00 beta=90.00 gamma=90.00
With the nearest neighbours (Å) after each atom.
Sites, in units of the cell vectors:
Nb: 0.1541 0.3459 0.0000  6 Re 2.71-2.74
Nb: 0.3459 0.8459 0.0000  6 Re 2.71-2.74
Nb: 0.6541 0.1541 0.0000  6 Re 2.71-2.74
Nb: 0.8459 0.6541 0.0000  6 Re 2.71-2.74
Cd: 0.0000 0.0000 0.5000  4 Re 2.97, 2 Cd 3.09, 8 Nb 3.29
Cd: 0.5000 0.5000 0.5000  4 Re 2.97, 2 Cd 3.09, 8 Nb 3.29
Re: 0.1407 0.6407 0.5000  6 Nb 2.71-2.74, 2 Cd 2.97
Re: 0.3593 0.1407 0.5000  6 Nb 2.71-2.74, 2 Cd 2.97
Re: 0.6407 0.8593 0.5000  6 Nb 2.71-2.74, 2 Cd 2.97
Re: 0.8593 0.3593 0.5000  6 Nb 2.71-2.74, 2 Cd 2.97

---

Entry 4:
VASP calculation (GGA-PBE) on a relaxed CaHI crystal.

Properties
SG: P-6m2 (187)
Electronic total energy: -9.97 eV per cell
N(E_F): 0.0 states/eV/cell

Unit cell a=4.0476 b=4.0476 c=4.7332 alpha=90.00 beta=90.00 gamma=120.00
With the nearest neighbours (Å) after each atom.
Sites, in units of the cell vectors:
Ca: 0.0000 0.0000 0.0000  3 H 2.34
H: 0.3333 0.6667 0.0000  3 Ca 2.34
I: 0.6667 0.3333 0.5000  6 Ca 3.33, 6 H 3.33

---

Entry 5:
VASP calculation (GGA-PBE) on a relaxed Ta2Pt3Rh2 crystal.

Properties
SG: Cmmm (65)
Formation energy: -0.29 eV/atom
N(E_F): 14.3 states/eV/cell

Unit cell a=2.7839 b=29.3957 c=2.8533 alpha=90.00 beta=90.00 gamma=90.00
With the nearest neighbours (Å) after each atom.
Sites, in units of the cell vectors:
Ta: 0.0000 0.1419 0.0000  4 Rh 2.72, 4 Ta 2.78-2.85, 4 Pt 2.80
Ta: 0.0000 0.8581 0.0000  4 Rh 2.72, 4 Ta 2.78-2.85, 4 Pt 2.80
Ta: 0.5000 0.3581 0.0000  4 Rh 2.72, 4 Ta 2.78-2.85, 4 Pt 2.80
Ta: 0.5000 0.6419 0.0000  4 Rh 2.72, 4 Ta 2.78-2.85, 4 Pt 2.80
Pt: 0.0000 0.0000 0.5000  4 Rh 2.70, 4 Pt 2.78-2.85
Pt: 0.0000 0.2911 0.5000  6 Pt 2.78-2.85, 4 Ta 2.80
Pt: 0.0000 0.7089 0.5000  6 Pt 2.78-2.85, 4 Ta 2.80
Pt: 0.5000 0.2089 0.5000  6 Pt 2.78-2.85, 4 Ta 2.80
Pt: 0.5000 0.5000 0.5000  4 Rh 2.70, 4 Pt 2.78-2.85
Pt: 0.5000 0.7911 0.5000  6 Pt 2.78-2.85, 4 Ta 2.80
Rh: 0.0000 0.4211 0.5000  2 Pt 2.70, 4 Ta 2.72, 4 Rh 2.78-2.85
Rh: 0.0000 0.5789 0.5000  2 Pt 2.70, 4 Ta 2.72, 4 Rh 2.78-2.85
Rh: 0.5000 0.0789 0.5000  2 Pt 2.70, 4 Ta 2.72, 4 Rh 2.78-2.85
Rh: 0.5000 0.9211 0.5000  2 Pt 2.70, 4 Ta 2.72, 4 Rh 2.78-2.85

---

Entry 6:
VASP calculation (GGA-PBE) on a relaxed CaBeP2 crystal.

Properties
SG: P2/m (10)
Formation energy: -0.46 eV/atom
N(E_F): 1.0 states/eV/cell

Unit cell a=4.2688 b=3.5705 c=4.9673 alpha=90.00 beta=93.07 gamma=90.00
With the nearest neighbours (Å) after each atom.
Sites, in units of the cell vectors:
Ca: 0.0000 0.0000 0.0000  8 P 2.92-3.11, 2 Be 3.19
Be: 0.5000 0.0000 0.5000  4 P 2.24
P: 0.4536 0.5000 0.7667  2 Be 2.24, 1 P 2.33
P: 0.5464 0.5000 0.2333  2 Be 2.24, 1 P 2.33

---

Entry 7:
VASP calculation (GGA-PBE) on a relaxed YAlCd crystal.

Properties
SG: P-3m1 (164)
Formation energy: -0.38 eV/atom
N(E_F): 3.6 states/eV/cell

Unit cell a=4.7157 b=4.7157 c=7.2546 alpha=90.00 beta=90.00 gamma=120.00
With the nearest neighbours (Å) after each atom.
Sites, in units of the cell vectors:
Y: 0.0000 0.0000 0.2470  6 Cd 3.14-3.44, 6 Al 3.15-3.38
Y: 0.0000 0.0000 0.7530  6 Cd 3.14-3.44, 6 Al 3.15-3.38
Al: 0.3333 0.6667 0.0293  3 Al 2.76
Al: 0.6667 0.3333 0.9707  3 Al 2.76
Cd: 0.3333 0.6667 0.4627  3 Cd 2.78
Cd: 0.6667 0.3333 0.5373  3 Cd 2.78

---

Entry 8:
VASP calculation (GGA-PBE) on a relaxed KLaRe2 crystal.

Properties
Energy relative to the lowest polymorph listed for this composition: 382.1 meV/atom
SG: R3m (160)
Formation energy: 0.89 eV/atom
N(E_F): 7.4 states/eV/cell

Unit cell a=2.9982 b=2.9982 c=34.7071 alpha=90.00 beta=90.00 gamma=120.00
With the nearest neighbours (Å) after each atom.
Sites, in units of the cell vectors:
K: 0.0000 0.0000 0.0000  6 K 3.00
K: 0.3333 0.6667 0.6667  6 K 3.00
K: 0.6667 0.3333 0.3333  6 K 3.00
La: 0.0000 0.0000 0.7784  6 La 3.00, 3 Re 3.24
La: 0.3333 0.6667 0.4451  6 La 3.00, 3 Re 3.24
La: 0.6667 0.3333 0.1118  6 La 3.00, 3 Re 3.24
Re: 0.0000 0.0000 0.2474  3 Re 2.62
Re: 0.0000 0.0000 0.5239  3 Re 2.62
Re: 0.3333 0.6667 0.1906  3 Re 2.62
Re: 0.3333 0.6667 0.9141  3 Re 2.62
Re: 0.6667 0.3333 0.5807  3 Re 2.62
Re: 0.6667 0.3333 0.8573  3 Re 2.62